No. 1
Compound: La2HgAs
Source: Alexandria
Functional: GGA-PBE
Structure: optimized geometry

a b c (Å): 5.385 5.385 5.385
angles (deg): 60.00 60.00 60.00
Element x y z (fractional)
La: 0.250 0.250 0.250
La: 0.750 0.750 0.750
Hg: 0.000 0.000 0.000
As: 0.500 0.500 0.500

ΔE to the lowest computed polymorph: 0.186 eV/atom
Final energy: -4.47 eV/atom



No. 2
Compound: LaHgAs
Source: Alexandria
Functional: GGA-PBE
Structure: optimized geometry

a b c (Å): 9.112 9.112 9.112
angles (deg): 32.16 32.16 32.16
Element x y z (fractional)
La: 0.102 0.102 0.102
La: 0.898 0.898 0.898
Hg: 0.326 0.326 0.326
Hg: 0.674 0.674 0.674
As: 0.215 0.215 0.215
As: 0.785 0.785 0.785

ΔE to the lowest computed polymorph: 0.044 eV/atom
Final energy: -4.06 eV/atom



No. 3
Compound: LaHgAs3
Source: Alexandria
Functional: GGA-PBE
Structure: optimized geometry

a b c (Å): 5.747 5.747 5.747
angles (deg): 90.00 90.00 90.00
Element x y z (fractional)
La: 0.000 0.000 0.000
Hg: 0.500 0.500 0.500
As: 0.000 0.000 0.500
As: 0.000 0.500 0.000
As: 0.500 0.000 0.000

ΔE to the lowest computed polymorph: 0.448 eV/atom
Final energy: -3.27 eV/atom



No. 4
Compound: LaHg2As2
Source: Alexandria
Functional: GGA-PBE
Structure: optimized geometry

a b c (Å): 7.648 7.648 4.486
angles (deg): 90.00 90.00 90.00
Element x y z (fractional)
La: 0.000 0.000 0.000
La: 0.500 0.500 0.000
Hg: 0.170 0.330 0.500
Hg: 0.330 0.830 0.500
Hg: 0.670 0.170 0.500
Hg: 0.830 0.670 0.500
As: 0.114 0.614 0.000
As: 0.386 0.114 0.000
As: 0.614 0.886 0.000
As: 0.886 0.386 0.000

ΔE to the lowest computed polymorph: 0.196 eV/atom
Final energy: -3.25 eV/atom



No. 5
Compound: LaHgAs
Source: Alexandria
Functional: GGA-PBE
Structure: optimized geometry

a b c (Å): 5.603 5.603 5.603
angles (deg): 136.94 136.94 62.52
Element x y z (fractional)
La: 0.000 0.000 0.000
Hg: 0.318 0.318 0.000
As: 0.634 0.634 0.000

ΔE to the lowest computed polymorph: 0.126 eV/atom
Final energy: -3.97 eV/atom



No. 6
Compound: LaHgAs
Source: Alexandria
Functional: GGA-PBE
Structure: optimized geometry

a b c (Å): 5.010 5.010 5.010
angles (deg): 60.00 60.00 60.00
Element x y z (fractional)
La: 0.000 0.000 0.000
Hg: 0.500 0.500 0.500
As: 0.250 0.250 0.250

ΔE to the lowest computed polymorph: 0.216 eV/atom
Final energy: -3.88 eV/atom



No. 7
Compound: LaHgAs
Source: Alexandria
Functional: GGA-PBE
Structure: optimized geometry

a b c (Å): 4.502 4.502 4.816
angles (deg): 90.00 90.00 120.00
Element x y z (fractional)
La: 0.000 0.000 0.000
Hg: 0.333 0.667 0.600
As: 0.667 0.333 0.322

ΔE to the lowest computed polymorph: 0.000 eV/atom
Final energy: -4.10 eV/atom



No. 8
Compound: La4HgAs
Source: Alexandria
Functional: GGA-PBE
Structure: optimized geometry

a b c (Å): 6.377 6.377 6.377
angles (deg): 60.00 60.00 60.00
Element x y z (fractional)
La: 0.123 0.123 0.123
La: 0.123 0.123 0.630
La: 0.123 0.630 0.123
La: 0.630 0.123 0.123
Hg: 0.500 0.500 0.500
As: 0.750 0.750 0.750

Final energy: -4.02 eV/atom



No. 9
Compound: LaHgAs
Source: Alexandria
Functional: GGA-PBE
Structure: optimized geometry

a b c (Å): 5.111 5.111 5.111
angles (deg): 60.00 60.00 60.00
Element x y z (fractional)
La: 0.000 0.000 0.000
Hg: 0.750 0.750 0.750
As: 0.250 0.250 0.250

ΔE to the lowest computed polymorph: 0.137 eV/atom
Final energy: -3.96 eV/atom



No. 10
Compound: La2HgAs
Source: Alexandria
Functional: GGA-PBE
Structure: optimized geometry

a b c (Å): 8.491 8.491 8.491
angles (deg): 29.64 29.64 29.64
Element x y z (fractional)
La: 0.000 0.000 0.000
La: 0.203 0.203 0.203
Hg: 0.455 0.455 0.455
As: 0.734 0.734 0.734

ΔE to the lowest computed polymorph: 0.534 eV/atom
Final energy: -4.13 eV/atom



No. 11
Compound: La3HgAs
Source: Alexandria
Functional: GGA-PBE
Structure: optimized geometry

a b c (Å): 7.535 4.368 9.710
angles (deg): 90.00 101.36 90.00
Element x y z (fractional)
La: 0.027 0.250 0.170
La: 0.309 0.750 0.422
La: 0.444 0.750 0.825
La: 0.556 0.250 0.175
La: 0.691 0.250 0.578
La: 0.973 0.750 0.830
Hg: 0.142 0.250 0.615
Hg: 0.858 0.750 0.385
As: 0.275 0.750 0.096
As: 0.725 0.250 0.904

ΔE to the lowest computed polymorph: 0.000 eV/atom
Final energy: -4.68 eV/atom



No. 12
Compound: La2HgAs
Source: Alexandria
Functional: GGA-PBE
Structure: optimized geometry

a b c (Å): 8.439 8.439 8.439
angles (deg): 29.16 29.16 29.16
Element x y z (fractional)
La: 0.000 0.000 0.000
La: 0.189 0.189 0.189
Hg: 0.427 0.427 0.427
As: 0.595 0.595 0.595

ΔE to the lowest computed polymorph: 0.015 eV/atom
Final energy: -4.65 eV/atom